# Ce2MgC, relaxed, DFT PBE
data_Ce2MgC
_chemical_formula_sum 'Ce6 Mg3 C3'
_symmetry_space_group_name_H-M 'R 3 m'
_symmetry_Int_Tables_number 160
_symmetry_space_group_name_Hall 'R 3 -2"'
_cell_length_a 3.4789
_cell_length_b 3.4789
_cell_length_c 27.1024
_cell_angle_alpha 90.00
_cell_angle_beta 90.00
_cell_angle_gamma 120.00
loop_
_atom_site_label
_atom_site_fract_x
_atom_site_fract_y
_atom_site_fract_z
Ce1 0.0000 0.0000 0.0000
Ce2 0.0000 0.0000 0.2264
Mg1 0.0000 0.0000 0.4476
C1 0.0000 0.0000 0.6130
# raw total energy: -5.771 eV/atom
# spin magnetization: 4.238 μB/cell
# theoretical density: 5.551 g/cm³
# volume: 23.67 Å³ per atom
# E_form: -0.10 eV/atom

=====

# Cs2Li2TmI6, relaxed, DFT PBE
data_Cs2Li2TmI6
_chemical_formula_sum 'Cs4 Li4 Tm2 I12'
_symmetry_space_group_name_H-M 'C 1 2/m 1'
_symmetry_Int_Tables_number 12
_symmetry_space_group_name_Hall '-C 2y'
_cell_length_a 14.6329
_cell_length_b 8.5968
_cell_length_c 9.5054
_cell_angle_alpha 90.00
_cell_angle_beta 121.14
_cell_angle_gamma 90.00
loop_
_atom_site_label
_atom_site_fract_x
_atom_site_fract_y
_atom_site_fract_z
Cs1 0.2089 0.0000 0.1864
Li1 0.0470 0.5000 0.1896
Tm1 0.0000 0.0000 0.5000
I1 0.0476 0.2409 0.7634
I2 0.2328 0.0000 0.6111
# raw total energy: -2.972 eV/atom
# spin magnetization: 2.133 μB/cell
# formation energy (no corrections): -117 kJ/mol of atoms
# theoretical density: 3.927 g/cm³
# volume: 46.52 Å³ per atom

=====

# Th4GaAu, relaxed, DFT PBE
data_Th4GaAu
_chemical_formula_sum 'Th8 Ga2 Au2'
_symmetry_space_group_name_H-M 'P 4/m c c'
_symmetry_Int_Tables_number 124
_symmetry_space_group_name_Hall '-P 4 2c'
_cell_length_a 7.5634
_cell_length_b 7.5634
_cell_length_c 5.8239
_cell_angle_alpha 90.00
_cell_angle_beta 90.00
_cell_angle_gamma 90.00
loop_
_atom_site_label
_atom_site_fract_x
_atom_site_fract_y
_atom_site_fract_z
Th1 0.1560 0.3397 0.0000
Ga1 0.0000 0.0000 0.2500
Au1 0.5000 0.5000 0.2500
# raw total energy: -6.387 eV/atom
# spin magnetization: 0.000 μB/cell
# theoretical density: 11.911 g/cm³
# volume: 27.76 Å³ per atom
# E_form: -0.39 eV/atom

=====

Repeat the first record exactly.
# Ce2MgC, relaxed, DFT PBE
data_Ce2MgC
_chemical_formula_sum 'Ce6 Mg3 C3'
_symmetry_space_group_name_H-M 'R 3 m'
_symmetry_Int_Tables_number 160
_symmetry_space_group_name_Hall 'R 3 -2"'
_cell_length_a 3.4789
_cell_length_b 3.4789
_cell_length_c 27.1024
_cell_angle_alpha 90.00
_cell_angle_beta 90.00
_cell_angle_gamma 120.00
loop_
_atom_site_label
_atom_site_fract_x
_atom_site_fract_y
_atom_site_fract_z
Ce1 0.0000 0.0000 0.0000
Ce2 0.0000 0.0000 0.2264
Mg1 0.0000 0.0000 0.4476
C1 0.0000 0.0000 0.6130
# raw total energy: -5.771 eV/atom
# spin magnetization: 4.238 μB/cell
# theoretical density: 5.551 g/cm³
# volume: 23.67 Å³ per atom
# E_form: -0.10 eV/atom

=====

Q: Which of these has the lowest theoretical density?
A: Cs2Li2TmI6

=====

Q: Among the records above, which one has the lowest volume?
A: Ce2MgC